# 1
Computed, not measured: crystalline Sr2LaTl at its relaxed geometry at the PBE level of DFT.

Output
As for the energy above the lowest structure with this stoichiometry: 0.064 eV per atom. As for the space group: No. 71. The formation energy comes out at -0.39 eV/f.u.

Cell and atoms, written as POSCAR:
```
Sr2LaTl
1.0
-7.1136 1.7223 -0.3682
-4.9695 -5.0530 -1.8644
5.3182 1.9098 4.6662
Tl Sr La
1 2 1
direct
0.2500 0.7500 0.5000
0.0395 0.0395 0.0000
0.4605 0.4605 0.0000
0.7500 0.2500 0.5000
```

# 2
Computed, not measured: crystalline KGe2SbCl8 at its relaxed geometry at the PBE level of DFT.

Output
The uncorrected formation energy comes out at -1.001 eV/atom. As for the space group: No. 2.

Cell and atoms, written as POSCAR:
```
KGe2SbCl8
1.0
6.9194 0.2327 0.1670
0.2868 6.3869 -0.0099
0.2178 -0.0048 8.8896
Cl Ge Sb K
8 2 1 1
direct
0.8047 0.2098 0.7926
0.8608 0.2661 0.2206
0.6924 0.7588 0.0397
0.1953 0.7902 0.2074
0.3076 0.2412 0.9603
0.1392 0.7339 0.7794
0.6476 0.7188 0.4419
0.3524 0.2812 0.5581
0.5521 0.5430 0.2363
0.4479 0.4570 0.7637
0.0000 0.0000 0.0000
0.0000 0.0000 0.5000
```

# 3
Computed, not measured: crystalline SrThGa4 at its relaxed geometry at the PBE level of DFT.

Output
As for the energy above the lowest structure with this stoichiometry: 0.154 eV per atom. As for the space group: No. 216. The formation energy comes out at -2.18 eV/f.u.

Cell and atoms, written as POSCAR:
```
SrThGa4
1.0
-0.1985 5.6520 0.7586
-4.2905 2.3337 2.9504
0.9664 2.2208 5.1666
Th Ga Sr
1 4 1
direct
0.0000 0.0000 0.0000
0.6257 0.6257 0.1229
0.6257 0.1229 0.6257
0.6257 0.6257 0.6257
0.1229 0.6257 0.6257
0.2500 0.2500 0.2500
```

# 4
Computed, not measured: crystalline Ce2I4O at its relaxed geometry at the PBE level of DFT.

Output
The uncorrected formation energy comes out at -1.618 eV/atom. As for the space group: No. 136.

Cell and atoms, written as POSCAR:
```
Ce2I4O
1.0
-3.4855 -0.1773 -1.4117
1.9290 -12.6758 -3.1707
-4.6037 -3.6589 11.8266
Ce I O
4 8 2
direct
0.5000 0.5878 0.5878
0.0000 0.9122 0.0878
0.5000 0.4122 0.4122
0.0000 0.0878 0.9122
0.0000 0.2277 0.4530
0.0000 0.7723 0.5470
0.0000 0.4530 0.2277
0.5000 0.9530 0.2723
0.5000 0.0470 0.7277
0.5000 0.7277 0.0470
0.5000 0.2723 0.9530
0.0000 0.5470 0.7723
0.5000 0.0000 0.0000
0.0000 0.5000 0.5000
```

# 5
Computed, not measured: crystalline Sb3BrF at its relaxed geometry at the PBE level of DFT.

Output
The uncorrected formation energy comes out at 0.781 eV/atom. As for the energy above the lowest structure with this stoichiometry: 0.669 eV per atom. As for the space group: No. 221.

Cell and atoms, written as POSCAR:
```
Sb3BrF
1.0
5.5019 0.0000 0.0000
0.0000 5.5019 0.0000
0.0000 0.0000 5.5019
Sb Br F
3 1 1
direct
0.0000 0.0000 0.5000
0.0000 0.5000 0.0000
0.5000 0.0000 0.0000
0.0000 0.0000 0.0000
0.5000 0.5000 0.5000
```

# 6
Computed, not measured: crystalline NdY5Ho2Er at its relaxed geometry at the PBE level of DFT.

Output
As for the space group: No. 36. The formation energy comes out at 1.40 eV/f.u.

Cell and atoms, written as POSCAR:
```
NdY5Ho2Er
1.0
-2.4942 -1.2505 -4.8849
10.1962 0.8921 -2.1953
1.3157 -10.2408 1.9497
Er Y Nd Ho
2 10 2 4
direct
0.5876 0.1752 0.9510
0.4124 0.8248 0.4510
0.2779 0.5559 0.3142
0.4788 0.9575 0.7377
0.3893 0.7786 0.0248
0.6984 0.3968 0.2048
0.7221 0.4441 0.8142
0.9839 0.9678 0.5226
0.0161 0.0322 0.0226
0.5212 0.0425 0.2377
0.3016 0.6032 0.7048
0.6107 0.2214 0.5248
0.8033 0.6067 0.5143
0.1967 0.3933 0.0143
0.8877 0.7753 0.8187
0.1106 0.2211 0.7358
0.8894 0.7789 0.2358
0.1123 0.2247 0.3187
```

# 7
Computed, not measured: crystalline Ca6H12Ir at its relaxed geometry at the PBE level of DFT.

Output
As for the space group: No. 148. The calculated total energy is -69.326 eV for the cell shown.

Cell and atoms, written as POSCAR:
```
Ca6H12Ir
1.0
-0.1587 -5.3540 3.3944
-1.7868 -2.4471 -5.5706
6.2463 0.1603 -1.0824
H Ca Ir
12 6 1
direct
0.5374 0.3881 0.8333
0.0050 0.7249 0.9652
0.3881 0.8333 0.5374
0.2751 0.0348 0.9950
0.0348 0.9950 0.2751
0.7249 0.9652 0.0050
0.1667 0.4626 0.6119
0.6119 0.1667 0.4626
0.8333 0.5374 0.3881
0.4626 0.6119 0.1667
0.9950 0.2751 0.0348
0.9652 0.0050 0.7249
0.4034 0.7077 0.8456
0.1544 0.5966 0.2923
0.7077 0.8456 0.4034
0.8456 0.4034 0.7077
0.2923 0.1544 0.5966
0.5966 0.2923 0.1544
0.0000 0.0000 0.0000
```

# 8
Computed, not measured: crystalline SbTe2HCl at its relaxed geometry at the PBE level of DFT.

Output
As for the energy above the lowest structure with this stoichiometry: 0.000 eV per atom. As for the space group: No. 123.

Cell and atoms, written as POSCAR:
```
SbTe2HCl
1.0
4.4757 0.0000 0.0000
0.0000 4.4757 0.0000
0.0000 0.0000 5.5808
H Te Cl Sb
1 2 1 1
direct
0.0000 0.0000 0.0000
0.0000 0.5000 0.0000
0.5000 0.0000 0.0000
0.5000 0.5000 0.5000
0.0000 0.0000 0.5000
```

# 9
Computed, not measured: crystalline AgHgI2 at its relaxed geometry at the PBE level of DFT.

Output
The uncorrected formation energy comes out at 0.148 eV/atom. As for the energy above the lowest structure with this stoichiometry: 0.384 eV per atom. As for the space group: No. 225.

Cell and atoms, written as POSCAR:
```
AgHgI2
1.0
-3.0897 -2.5239 -3.8461
-5.3943 1.1903 -0.4399
-1.8603 2.8541 -4.3707
I Hg Ag
2 1 1
direct
0.2500 0.2500 0.2500
0.7500 0.7500 0.7500
0.5000 0.5000 0.5000
0.0000 0.0000 0.0000
```

# 10
Computed, not measured: crystalline BaCrW2 at its relaxed geometry at the PBE level of DFT.

Output
As for the energy above the lowest structure with this stoichiometry: 0.171 eV per atom. As for the space group: No. 35. The formation energy comes out at 4.12 eV/f.u.

Cell and atoms, written as POSCAR:
```
BaCrW2
1.0
2.9133 0.0107 0.0000
-1.0383 2.7220 0.0000
0.0000 0.0000 9.8544
Cr Ba W
1 1 2
direct
0.5000 0.5000 0.8006
0.0000 0.0000 0.5082
0.5000 0.5000 0.2025
0.0000 0.0000 0.9887
```

# 11
Computed, not measured: crystalline BaTiCdSn2 at its relaxed geometry at the PBE level of DFT.

Output
As for the space group: No. 123. The formation energy comes out at -1.32 eV/f.u.

Cell and atoms, written as POSCAR:
```
BaTiCdSn2
1.0
-1.1560 5.0448 -1.2686
-1.2128 -1.5251 -4.9597
-5.2103 -0.8108 1.5234
Ba Sn Ti Cd
1 2 1 1
direct
0.5000 0.5000 0.5000
0.5000 0.0000 0.0000
0.0000 0.5000 0.0000
0.0000 0.0000 0.0000
0.0000 0.0000 0.5000
```

# 12
Computed, not measured: crystalline CuTcAu4 at its relaxed geometry at the PBE level of DFT.

Output
As for the space group: No. 216. The formation energy comes out at 3.48 eV/f.u.

Cell and atoms, written as POSCAR:
```
CuTcAu4
1.0
-2.9727 -3.1913 3.2378
-0.6924 1.3214 5.2230
-4.8574 1.6825 1.7549
Au Cu Tc
4 1 1
direct
0.6248 0.6248 0.1255
0.1255 0.6248 0.6248
0.6248 0.6248 0.6248
0.6248 0.1255 0.6248
0.2500 0.2500 0.2500
0.0000 0.0000 0.0000
```

# 13
Computed, not measured: crystalline Rb2TmSiO4 at its relaxed geometry at the PBE level of DFT.

Output
The uncorrected formation energy comes out at -2.218 eV/atom. As for the space group: No. 70.

Cell and atoms, written as POSCAR:
```
Rb2TmSiO4
1.0
5.5675 0.0000 0.0000
2.7837 6.3811 0.0000
2.7837 0.0000 11.8437
Rb O Tm Si
4 8 2 2
direct
0.8199 0.0000 0.3603
0.9301 0.5000 0.1397
0.1801 0.0000 0.6397
0.5699 0.5000 0.8603
0.1717 0.3480 0.4275
0.5783 0.1520 0.0725
0.2698 0.1520 0.9275
0.9473 0.6520 0.5725
0.8027 0.8480 0.9275
0.3493 0.8480 0.0725
0.4007 0.6520 0.4275
0.4802 0.3480 0.5725
0.0000 0.0000 0.0000
0.7500 0.5000 0.5000
0.2500 0.5000 0.5000
0.5000 0.0000 0.0000
```

# 14
Computed, not measured: crystalline Ca4ScNi at its relaxed geometry at the PBE level of DFT.

Output
As for the space group: No. 216. The formation energy comes out at 4.59 eV/f.u.

Cell and atoms, written as POSCAR:
```
Ca4ScNi
1.0
0.5037 -1.3148 6.4220
-5.0684 1.2067 4.0099
-3.3889 -4.9934 2.6088
Ca Ni Sc
4 1 1
direct
0.3749 0.8754 0.3749
0.3749 0.3749 0.3749
0.3749 0.3749 0.8754
0.8754 0.3749 0.3749
0.7500 0.7500 0.7500
0.0000 0.0000 0.0000
```

Computed mass density (kg/m³) in order:
5420 2498 7566 4065 4628 6051 2990 6141 7759 11819 5700 13912 3409 2181